# Ac3PmGe7 | the Alexandria database | PBE | optimized geometry
# - Formation enthalpy at 0 K: -6.80 eV per formula unit
# - Crystal system: orthorhombic
data_Ac3PmGe7
_symmetry_space_group_name_H-M 'C m c m'
_symmetry_Int_Tables_number 63
_symmetry_space_group_name_Hall '-C 2c 2'
_cell_length_a 4.5603
_cell_length_b 21.0994
_cell_length_c 12.1486
_cell_angle_alpha 90.00
_cell_angle_beta 90.00
_cell_angle_gamma 90.00
loop_
_atom_site_label
_atom_site_type_symbol
_atom_site_fract_x
_atom_site_fract_y
_atom_site_fract_z
Ac1 Ac 0.0000 0.1083 0.0537
Ac2 Ac 0.0000 0.2404 0.7500
Pm1 Pm 0.0000 0.0466 0.7500
Ge1 Ge 0.0000 0.2634 0.0425
Ge2 Ge 0.0000 0.3696 0.1420
Ge3 Ge 0.0000 0.3992 0.7500
Ge4 Ge 0.0000 0.4982 0.1068

# Ac2PmGe | the Alexandria database | PBE | optimized geometry
# - Formation enthalpy at 0 K: -0.88 eV per formula unit
# - Crystal system: tetragonal
# - Energy above the lowest structure with this stoichiometry: 65.3 meV per atom
data_Ac2PmGe
_symmetry_space_group_name_H-M 'P 4/m m m'
_symmetry_Int_Tables_number 123
_symmetry_space_group_name_Hall '-P 4 2'
_cell_length_a 4.0651
_cell_length_b 4.0651
_cell_length_c 8.4466
_cell_angle_alpha 90.00
_cell_angle_beta 90.00
_cell_angle_gamma 90.00
loop_
_atom_site_label
_atom_site_type_symbol
_atom_site_fract_x
_atom_site_fract_y
_atom_site_fract_z
Ac1 Ac 0.0000 0.0000 0.2001
Pm1 Pm 0.5000 0.5000 0.5000
Ge1 Ge 0.5000 0.5000 0.0000

# AcPmPrGe | the Alexandria database | PBE | optimized geometry
# - Formation enthalpy at 0 K: -0.19 eV per formula unit
# - Crystal system: cubic
data_AcPmPrGe
_symmetry_space_group_name_H-M 'F -4 3 m'
_symmetry_Int_Tables_number 216
_symmetry_space_group_name_Hall 'F -4 2 3'
_cell_length_a 7.8493
_cell_length_b 7.8493
_cell_length_c 7.8493
_cell_angle_alpha 90.00
_cell_angle_beta 90.00
_cell_angle_gamma 90.00
loop_
_atom_site_label
_atom_site_type_symbol
_atom_site_fract_x
_atom_site_fract_y
_atom_site_fract_z
Ac1 Ac 0.0000 0.0000 0.0000
Pm1 Pm 0.2500 0.2500 0.7500
Pr1 Pr 0.2500 0.2500 0.2500
Ge1 Ge 0.0000 0.0000 0.5000

# AcPmGe2Pt2 | the Alexandria database | PBE | optimized geometry
# - Formation enthalpy at 0 K: -6.26 eV per formula unit
# - Crystal system: trigonal
data_AcPmGe2Pt2
_symmetry_space_group_name_H-M 'P -3 m 1'
_symmetry_Int_Tables_number 164
_symmetry_space_group_name_Hall '-P 3 2"'
_cell_length_a 4.3627
_cell_length_b 4.3627
_cell_length_c 8.5097
_cell_angle_alpha 90.00
_cell_angle_beta 90.00
_cell_angle_gamma 120.00
loop_
_atom_site_label
_atom_site_type_symbol
_atom_site_fract_x
_atom_site_fract_y
_atom_site_fract_z
Ac1 Ac 0.0000 0.0000 0.0000
Pm1 Pm 0.0000 0.0000 0.5000
Ge1 Ge 0.3333 0.6667 0.2683
Pt1 Pt 0.3333 0.6667 0.7360

# AcPmPuGe | the Alexandria database | PBE | optimized geometry
# - Formation enthalpy at 0 K: 0.30 eV per formula unit
# - Crystal system: cubic
data_AcPmPuGe
_symmetry_space_group_name_H-M 'F -4 3 m'
_symmetry_Int_Tables_number 216
_symmetry_space_group_name_Hall 'F -4 2 3'
_cell_length_a 7.6968
_cell_length_b 7.6968
_cell_length_c 7.6968
_cell_angle_alpha 90.00
_cell_angle_beta 90.00
_cell_angle_gamma 90.00
loop_
_atom_site_label
_atom_site_type_symbol
_atom_site_fract_x
_atom_site_fract_y
_atom_site_fract_z
Ac1 Ac 0.0000 0.0000 0.0000
Pm1 Pm 0.2500 0.2500 0.2500
Pu1 Pu 0.2500 0.2500 0.7500
Ge1 Ge 0.0000 0.0000 0.5000

# AcPmGeRh | the Alexandria database | PBE | optimized geometry
# - Formation enthalpy at 0 K: -2.13 eV per formula unit
# - Crystal system: cubic
# - Energy above the lowest structure with this stoichiometry: 0.0 meV per atom
data_AcPmGeRh
_symmetry_space_group_name_H-M 'F -4 3 m'
_symmetry_Int_Tables_number 216
_symmetry_space_group_name_Hall 'F -4 2 3'
_cell_length_a 7.4287
_cell_length_b 7.4287
_cell_length_c 7.4287
_cell_angle_alpha 90.00
_cell_angle_beta 90.00
_cell_angle_gamma 90.00
loop_
_atom_site_label
_atom_site_type_symbol
_atom_site_fract_x
_atom_site_fract_y
_atom_site_fract_z
Ac1 Ac 0.0000 0.0000 0.0000
Pm1 Pm 0.0000 0.0000 0.5000
Ge1 Ge 0.2500 0.2500 0.7500
Rh1 Rh 0.2500 0.2500 0.2500

# AcPmGeRh | the Alexandria database | PBE | optimized geometry
# - Formation enthalpy at 0 K: -2.11 eV per formula unit
# - Crystal system: tetragonal
# - Energy above the lowest structure with this stoichiometry: 4.7 meV per atom
data_AcPmGeRh
_symmetry_space_group_name_H-M 'P 4/n m m'
_symmetry_Int_Tables_number 129
_cell_length_a 4.7934
_cell_length_b 4.7934
_cell_length_c 10.3063
_cell_angle_alpha 90.00
_cell_angle_beta 90.00
_cell_angle_gamma 90.00
loop_
_symmetry_equiv_pos_as_xyz
'x,y,z'
'-x,-y,-z'
'-y+1/2,x,z'
'y+1/2,-x,-z'
'-x+1/2,-y+1/2,z'
'x+1/2,y+1/2,-z'
'y,-x+1/2,z'
'-y,x+1/2,-z'
'x+1/2,-y,-z'
'-x+1/2,y,z'
'-y,-x,-z'
'y,x,z'
'-x,y+1/2,-z'
'x,-y+1/2,z'
'y+1/2,x+1/2,-z'
'-y+1/2,-x+1/2,z'
loop_
_atom_site_label
_atom_site_type_symbol
_atom_site_fract_x
_atom_site_fract_y
_atom_site_fract_z
Ac1 Ac 0.2500 0.2500 0.1738
Pm1 Pm 0.2500 0.7500 0.5000
Ge1 Ge 0.2500 0.2500 0.8758
Rh1 Rh 0.2500 0.2500 0.6471

# Ac2PmGe3Rh4 | the Alexandria database | PBE | optimized geometry
# - Formation enthalpy at 0 K: -8.37 eV per formula unit
# - Crystal system: tetragonal
data_Ac2PmGe3Rh4
_symmetry_space_group_name_H-M 'P -4 m 2'
_symmetry_Int_Tables_number 115
_cell_length_a 4.3163
_cell_length_b 4.3163
_cell_length_c 11.3837
_cell_angle_alpha 90.00
_cell_angle_beta 90.00
_cell_angle_gamma 90.00
loop_
_symmetry_equiv_pos_as_xyz
'x,y,z'
'y,-x,-z'
'-x,-y,z'
'-y,x,-z'
'-x,y,z'
'-y,-x,-z'
'x,-y,z'
'y,x,-z'
loop_
_atom_site_label
_atom_site_type_symbol
_atom_site_fract_x
_atom_site_fract_y
_atom_site_fract_z
Ac1 Ac 0.0000 0.5000 0.2325
Pm1 Pm 0.0000 0.0000 0.5000
Ge1 Ge 0.0000 0.5000 0.8841
Ge2 Ge 0.5000 0.5000 0.5000
Rh1 Rh 0.0000 0.0000 0.0000
Rh2 Rh 0.0000 0.5000 0.6619
Rh3 Rh 0.5000 0.5000 0.0000

# AcPmGeSb | the Alexandria database | PBE | optimized geometry
# - Crystal system: cubic
# - Final energy: -80.98 eV for the cell shown
data_AcPmGeSb
_symmetry_space_group_name_H-M 'F -4 3 m'
_symmetry_Int_Tables_number 216
_symmetry_space_group_name_Hall 'F -4 2 3'
_cell_length_a 7.8053
_cell_length_b 7.8053
_cell_length_c 7.8053
_cell_angle_alpha 90.00
_cell_angle_beta 90.00
_cell_angle_gamma 90.00
loop_
_atom_site_label
_atom_site_type_symbol
_atom_site_fract_x
_atom_site_fract_y
_atom_site_fract_z
Ac1 Ac 0.0000 0.0000 0.0000
Pm1 Pm 0.0000 0.0000 0.5000
Ge1 Ge 0.2500 0.2500 0.2500
Sb1 Sb 0.2500 0.2500 0.7500

# AcPmGeSe | the Alexandria database | PBE | optimized geometry
# - Crystal system: trigonal
# - Energy above the lowest structure with this stoichiometry: 0.0 meV per atom
data_AcPmGeSe
_symmetry_space_group_name_H-M 'R 3 m'
_symmetry_Int_Tables_number 160
_symmetry_space_group_name_Hall 'R 3 -2"'
_cell_length_a 4.4080
_cell_length_b 4.4080
_cell_length_c 21.6773
_cell_angle_alpha 90.00
_cell_angle_beta 90.00
_cell_angle_gamma 120.00
loop_
_atom_site_label
_atom_site_type_symbol
_atom_site_fract_x
_atom_site_fract_y
_atom_site_fract_z
Ac1 Ac 0.0000 0.0000 0.0000
Pm1 Pm 0.0000 0.0000 0.5070
Ge1 Ge 0.0000 0.0000 0.2479
Se1 Se 0.0000 0.0000 0.7587

# AcPmGeSe | the Alexandria database | PBE | optimized geometry
# - Crystal system: cubic
# - Energy above the lowest structure with this stoichiometry: 328.6 meV per atom
data_AcPmGeSe
_symmetry_space_group_name_H-M 'F -4 3 m'
_symmetry_Int_Tables_number 216
_symmetry_space_group_name_Hall 'F -4 2 3'
_cell_length_a 7.5850
_cell_length_b 7.5850
_cell_length_c 7.5850
_cell_angle_alpha 90.00
_cell_angle_beta 90.00
_cell_angle_gamma 90.00
loop_
_atom_site_label
_atom_site_type_symbol
_atom_site_fract_x
_atom_site_fract_y
_atom_site_fract_z
Ac1 Ac 0.0000 0.0000 0.0000
Pm1 Pm 0.0000 0.0000 0.5000
Ge1 Ge 0.2500 0.2500 0.2500
Se1 Se 0.2500 0.2500 0.7500

# AcPmSnGe | the Alexandria database | PBE | optimized geometry
# - Formation enthalpy at 0 K: -2.04 eV per formula unit
# - Crystal system: cubic
data_AcPmSnGe
_symmetry_space_group_name_H-M 'F -4 3 m'
_symmetry_Int_Tables_number 216
_symmetry_space_group_name_Hall 'F -4 2 3'
_cell_length_a 7.8066
_cell_length_b 7.8066
_cell_length_c 7.8066
_cell_angle_alpha 90.00
_cell_angle_beta 90.00
_cell_angle_gamma 90.00
loop_
_atom_site_label
_atom_site_type_symbol
_atom_site_fract_x
_atom_site_fract_y
_atom_site_fract_z
Ac1 Ac 0.0000 0.0000 0.0000
Pm1 Pm 0.0000 0.0000 0.5000
Sn1 Sn 0.2500 0.2500 0.7500
Ge1 Ge 0.2500 0.2500 0.2500